A plane-wave DFT calculation with GGA-PBEsol was carried out for a relaxed structure of ErCO4.

Calculated values
**Symmetry**: P-6 (174)
**ΔE_f (raw)**: -2.093 eV/atom

Unit cell a=11.700 b=11.700 c=9.546 alpha=90.00 beta=90.00 gamma=120.00
Atoms (fractional coordinates):
1 Er 0.216 0.437 0.246
2 Er 0.216 0.437 0.754
3 Er 0.221 0.784 0.246
4 Er 0.221 0.784 0.754
5 Er 0.228 0.116 0.244
6 Er 0.228 0.116 0.756
7 Er 0.551 0.446 0.259
8 Er 0.551 0.446 0.741
9 Er 0.554 0.105 0.259
10 Er 0.554 0.105 0.741
11 Er 0.563 0.779 0.246
12 Er 0.563 0.779 0.754
13 Er 0.884 0.112 0.244
14 Er 0.884 0.112 0.756
15 Er 0.888 0.772 0.244
16 Er 0.888 0.772 0.756
17 Er 0.895 0.449 0.259
18 Er 0.895 0.449 0.741
19 C 0.023 0.195 0.500
20 C 0.093 0.207 0.000
21 C 0.114 0.907 0.000
22 C 0.128 0.555 0.000
23 C 0.137 0.498 0.500
24 C 0.171 0.977 0.500
25 C 0.361 0.863 0.500
26 C 0.427 0.872 0.000
27 C 0.445 0.573 0.000
28 C 0.461 0.240 0.500
29 C 0.468 0.311 0.000
30 C 0.502 0.639 0.500
31 C 0.689 0.157 0.000
32 C 0.760 0.221 0.500
33 C 0.779 0.539 0.500
34 C 0.793 0.886 0.000
35 C 0.805 0.829 0.500
36 C 0.843 0.532 0.000
37 O 0.000 0.000 0.248
38 O 0.000 0.000 0.752
39 O 0.004 0.670 0.305
40 O 0.004 0.670 0.695
41 O 0.076 0.245 0.381
42 O 0.076 0.245 0.619
43 O 0.084 0.843 0.117
44 O 0.084 0.843 0.883
45 O 0.085 0.499 0.382
46 O 0.085 0.499 0.618
47 O 0.099 0.590 0.117
48 O 0.099 0.590 0.883
49 O 0.157 0.240 0.117
50 O 0.157 0.240 0.883
51 O 0.169 0.924 0.381
52 O 0.169 0.924 0.619
53 O 0.175 0.033 0.000
54 O 0.182 0.092 0.500
55 O 0.185 0.486 0.000
56 O 0.243 0.491 0.500
57 O 0.248 0.757 0.500
58 O 0.301 0.815 0.000
59 O 0.330 0.334 0.305
60 O 0.330 0.334 0.695
61 O 0.333 0.667 0.254
62 O 0.333 0.667 0.746
63 O 0.338 0.006 0.193
64 O 0.338 0.006 0.807
65 O 0.410 0.510 0.117
66 O 0.410 0.510 0.883
67 O 0.414 0.915 0.382
68 O 0.414 0.915 0.618
69 O 0.417 0.257 0.118
70 O 0.417 0.257 0.882
71 O 0.430 0.177 0.382
72 O 0.430 0.177 0.618
73 O 0.490 0.901 0.117
74 O 0.490 0.901 0.883
75 O 0.501 0.586 0.382
76 O 0.501 0.586 0.618
77 O 0.509 0.752 0.500
78 O 0.514 0.699 0.000
79 O 0.523 0.366 0.500
80 O 0.574 0.425 0.000
81 O 0.575 0.148 0.000
82 O 0.634 0.157 0.500
83 O 0.666 0.996 0.305
84 O 0.666 0.996 0.695
85 O 0.667 0.333 0.248
86 O 0.667 0.333 0.752
87 O 0.668 0.662 0.193
88 O 0.668 0.662 0.807
89 O 0.743 0.159 0.118
90 O 0.743 0.159 0.882
91 O 0.747 0.570 0.382
92 O 0.747 0.570 0.618
93 O 0.755 0.831 0.381
94 O 0.755 0.831 0.619
95 O 0.760 0.916 0.117
96 O 0.760 0.916 0.883
97 O 0.823 0.253 0.382
98 O 0.823 0.253 0.618
99 O 0.841 0.583 0.118
100 O 0.841 0.583 0.882
101 O 0.843 0.477 0.500
102 O 0.852 0.426 0.000
103 O 0.858 0.825 0.000
104 O 0.908 0.090 0.500
105 O 0.910 0.818 0.500
106 O 0.967 0.142 0.000
107 O 0.994 0.332 0.193
108 O 0.994 0.332 0.807

A plane-wave DFT calculation with GGA-PBEsol was carried out for a relaxed structure of Er2OsC2.

Calculated values
**Symmetry**: Pnma (62)

Unit cell a=6.354 b=5.005 c=9.594 alpha=90.00 beta=90.00 gamma=90.00
Atoms (fractional coordinates):
1 Er 0.028 0.250 0.218
2 Er 0.181 0.250 0.553
3 Er 0.319 0.750 0.053
4 Er 0.472 0.750 0.718
5 Er 0.528 0.250 0.282
6 Er 0.681 0.250 0.947
7 Er 0.819 0.750 0.447
8 Er 0.972 0.750 0.782
9 Os 0.221 0.250 0.868
10 Os 0.279 0.750 0.368
11 Os 0.721 0.250 0.632
12 Os 0.779 0.750 0.132
13 C 0.043 0.750 0.242
14 C 0.171 0.750 0.557
15 C 0.329 0.250 0.057
16 C 0.457 0.250 0.742
17 C 0.543 0.750 0.258
18 C 0.671 0.750 0.943
19 C 0.829 0.250 0.443
20 C 0.957 0.250 0.758

A plane-wave DFT calculation with GGA-PBEsol was carried out for a relaxed structure of Er12Re5C15.

Calculated values
**Symmetry**: P-62m (189)

Unit cell a=10.554 b=10.554 c=4.971 alpha=90.00 beta=90.00 gamma=120.00
Atoms (fractional coordinates):
1 Er 0.000 0.429 0.000
2 Er 0.000 0.795 0.000
3 Er 0.186 0.730 0.500
4 Er 0.205 0.205 0.000
5 Er 0.270 0.456 0.500
6 Er 0.429 0.000 0.000
7 Er 0.456 0.270 0.500
8 Er 0.544 0.814 0.500
9 Er 0.571 0.571 0.000
10 Er 0.730 0.186 0.500
11 Er 0.795 0.000 0.000
12 Er 0.814 0.544 0.500
13 Re 0.000 0.152 0.500
14 Re 0.152 0.000 0.500
15 Re 0.333 0.667 0.000
16 Re 0.667 0.333 0.000
17 Re 0.848 0.848 0.500
18 C 0.000 0.335 0.500
19 C 0.000 0.463 0.500
20 C 0.000 0.783 0.500
21 C 0.187 0.722 0.000
22 C 0.217 0.217 0.500
23 C 0.278 0.466 0.000
24 C 0.335 0.000 0.500
25 C 0.463 0.000 0.500
26 C 0.466 0.278 0.000
27 C 0.534 0.813 0.000
28 C 0.537 0.537 0.500
29 C 0.665 0.665 0.500
30 C 0.722 0.187 0.000
31 C 0.783 0.000 0.500
32 C 0.813 0.534 0.000

A plane-wave DFT calculation with GGA-PBEsol was carried out for a relaxed structure of Er5Re2C7.

Calculated values
**Symmetry**: Cmmm (65)

Unit cell a=8.173 b=8.173 c=3.342 alpha=90.00 beta=90.00 gamma=122.28
Atoms (fractional coordinates):
1 Er 0.000 0.000 0.000
2 Er 0.166 0.424 0.500
3 Er 0.424 0.166 0.500
4 Er 0.576 0.834 0.500
5 Er 0.834 0.576 0.500
6 Re 0.215 0.785 0.000
7 Re 0.785 0.215 0.000
8 C 0.000 0.500 0.000
9 C 0.125 0.875 0.500
10 C 0.328 0.328 0.000
11 C 0.500 0.000 0.000
12 C 0.500 0.500 0.000
13 C 0.672 0.672 0.000
14 C 0.875 0.125 0.500

A plane-wave DFT calculation with GGA-PBEsol was carried out for a relaxed structure of Er7Ru2C11.

Calculated values
**Symmetry**: Cmcm (63)

Unit cell a=8.282 b=8.282 c=19.481 alpha=90.00 beta=90.00 gamma=156.59
Atoms (fractional coordinates):
1 Er 0.018 0.982 0.627
2 Er 0.018 0.982 0.873
3 Er 0.163 0.837 0.020
4 Er 0.163 0.837 0.480
5 Er 0.217 0.783 0.655
6 Er 0.217 0.783 0.845
7 Er 0.391 0.609 0.750
8 Er 0.609 0.391 0.250
9 Er 0.783 0.217 0.155
10 Er 0.783 0.217 0.345
11 Er 0.837 0.163 0.520
12 Er 0.837 0.163 0.980
13 Er 0.982 0.018 0.127
14 Er 0.982 0.018 0.373
15 Ru 0.426 0.574 0.250
16 Ru 0.500 0.500 0.000
17 Ru 0.500 0.500 0.500
18 Ru 0.574 0.426 0.750
19 C 0.004 0.996 0.250
20 C 0.226 0.774 0.250
21 C 0.296 0.704 0.063
22 C 0.296 0.704 0.437
23 C 0.309 0.691 0.250
24 C 0.364 0.636 0.624
25 C 0.364 0.636 0.876
26 C 0.378 0.622 0.082
27 C 0.378 0.622 0.418
28 C 0.424 0.576 0.579
29 C 0.424 0.576 0.921
30 C 0.576 0.424 0.079
31 C 0.576 0.424 0.421
32 C 0.622 0.378 0.582
33 C 0.622 0.378 0.918
34 C 0.636 0.364 0.124
35 C 0.636 0.364 0.376
36 C 0.691 0.309 0.750
37 C 0.704 0.296 0.563
38 C 0.704 0.296 0.937
39 C 0.774 0.226 0.750
40 C 0.996 0.004 0.750

A plane-wave DFT calculation with GGA-PBEsol was carried out for a relaxed structure of ErRu3C.

Calculated values
**Symmetry**: Pm-3m (221)

Unit cell a=4.091 b=4.091 c=4.091 alpha=90.00 beta=90.00 gamma=90.00
Atoms (fractional coordinates):
1 Er 0.000 0.000 0.000
2 Ru 0.000 0.500 0.500
3 Ru 0.500 0.000 0.500
4 Ru 0.500 0.500 0.000
5 C 0.500 0.500 0.500

Number 1: electronic total energy -866.27 eV per cell. Number 2: electronic total energy -174.41 eV per cell. Number 3: electronic total energy -283.50 eV per cell. Number 4: electronic total energy -125.38 eV per cell. Number 5: electronic total energy -335.02 eV per cell. Number 6: electronic total energy -46.36 eV per cell.